# PBE Y2CuOs, relaxed
data_Y2CuOs
_symmetry_space_group_name_H-M 'C 1 m 1'
_symmetry_Int_Tables_number 8
_cell_length_a 11.2958
_cell_length_b 3.4180
_cell_length_c 4.7508
_cell_angle_alpha 90.00
_cell_angle_beta 114.26
_cell_angle_gamma 90.00
loop_
_symmetry_equiv_pos_as_xyz
'x,y,z'
'x,-y,z'
'x+1/2,y+1/2,z'
'x+1/2,-y+1/2,z'
loop_
_atom_site_label
_atom_site_fract_x
_atom_site_fract_y
_atom_site_fract_z
_atom_site_occupancy
Y1 0.0000 0.0000 0.0000 1
Y2 0.2070 0.0000 0.7033 1
Cu1 0.2782 0.5000 0.2741 1
Os1 0.4653 0.0000 0.4663 1
# Total magnetization = 0.000 μB/atom
# Energy relative to the elements = -0.04 eV per atom